[1]
Material: La2PbAu3
Method: DFT, GGA-PBE
State: optimized geometry

Lattice parameters (Å, degrees): 4.5863 3.9123 9.7296 101.60 103.63 90.00
Fractional coordinates of all 6 atoms:
La 0.1371 0.1371 0.2741
La 0.8525 0.3525 0.7050
Pb 0.4515 0.9515 0.9030
Au 0.7078 0.7078 0.4156
Au 0.5604 0.5604 0.1208
Au 0.2907 0.7907 0.5815

Values from the calculation:
Electronic total energy, eV per formula unit: -27.3
Space group: Imm2
Formation energy from the elements, eV per atom: -0.65

[2]
Material: La3Pd2Pb2Au4
Method: DFT, GGA-PBE
State: optimized geometry

Lattice parameters (Å, degrees): 4.7192 4.7192 14.7582 90.00 90.00 120.00
Fractional coordinates of all 11 atoms:
La 0.0000 0.0000 0.7503
La 0.0000 0.0000 0.0000
La 0.0000 0.0000 0.2497
Pd 0.6667 0.3333 0.8605
Pd 0.3333 0.6667 0.1395
Pb 0.6667 0.3333 0.4340
Pb 0.3333 0.6667 0.5660
Au 0.6667 0.3333 0.1189
Au 0.3333 0.6667 0.8811
Au 0.6667 0.3333 0.6470
Au 0.3333 0.6667 0.3530

Values from the calculation:
Electronic total energy, eV per formula unit: -52.6
Space group: P-3m1
Formation energy from the elements, eV per atom: -0.62

[3]
Material: LaPmPbAu
Method: DFT, GGA-PBE
State: optimized geometry

Lattice parameters (Å, degrees): 5.4652 5.4652 5.4652 60.00 60.00 60.00
Last column: magnetic moment on the atom in μB.
Fractional coordinates of all 4 atoms:
Pb 0.5000 0.5000 0.5000  -0.02
La 0.2500 0.2500 0.2500  0.20
Au 0.0000 0.0000 0.0000  0.04
Pm 0.7500 0.7500 0.7500  0.25

Values from the calculation:
Electronic total energy, eV per formula unit: -19.2
Space group: F-43m
Formation energy from the elements, eV per atom: -0.63

[4]
Material: LaPuPbAu
Method: DFT, GGA-PBE
State: optimized geometry

Lattice parameters (Å, degrees): 5.4372 5.4372 5.4372 60.00 60.00 60.00
Last column: magnetic moment on the atom in μB.
Fractional coordinates of all 4 atoms:
Pb 0.0000 0.0000 0.0000  -0.06
La 0.7500 0.7500 0.7500  0.15
Au 0.5000 0.5000 0.5000  0.03
Pu 0.2500 0.2500 0.2500  5.51

Values from the calculation:
Electronic total energy, eV per formula unit: -28.0
Space group: F-43m
Formation energy from the elements, eV per atom: -0.43